## KSnHg3S4 (GGA-PBE)

Data for crystalline KSnHg3S4 at its relaxed geometry.

a b c (Å): 6.7240 6.7240 6.7240
angles (deg): 90.00 90.00 90.00
With the nearest neighbours (Å) after each atom.
Sites, in units of the cell vectors:
S  0.7241  0.2759  0.7241  1 Sn 2.61, 3 Hg 2.83
S  0.2759  0.2759  0.2759  1 Sn 2.61, 3 Hg 2.83
S  0.2759  0.7241  0.7241  1 Sn 2.61, 3 Hg 2.83
S  0.7241  0.7241  0.2759  1 Sn 2.61, 3 Hg 2.83
K  0.0000  0.0000  0.0000  4 S 3.21
Hg  0.5000  0.5000  0.0000  4 S 2.83
Sn  0.5000  0.5000  0.5000  4 S 2.61
Hg  0.5000  0.0000  0.5000  4 S 2.83
Hg  0.0000  0.5000  0.5000  4 S 2.83

The uncorrected energy comes out at -2.644 eV/atom.